This record from the Alexandria database describes a geometry-optimized YBe2As2 structure. The functional is PBE.

Unit cell a=3.6508 b=3.6508 c=12.4763 alpha=90.00 beta=90.00 gamma=90.00
With the nearest neighbours (Å) after each atom.
Space group I4/mmm (No. 139)
Asymmetric unit:
Y (0.0000, 0.0000, 0.0000)  8 As 3.08
Be (0.0000, 0.5000, 0.2500)  4 As 2.32, 4 Be 2.58
As (0.0000, 0.0000, 0.3653)  4 Be 2.32

Calculated values
crystal system	tetragonal
D(E_F)	1.79	states/eV/f.u.
uncorrected energy	-5.138	eV per atom
V	16.629	Å³ per atom
formation enthalpy at 0 K	-47.74	kJ per mole of atoms

---

This record from the Alexandria database describes a geometry-optimized GaSbMo structure. The functional is PBE.

Unit cell a=5.0264 b=5.0762 c=5.4482 alpha=108.80 beta=111.04 gamma=102.96
With the nearest neighbours (Å) after each atom.
Space group P-1 (No. 2)
Asymmetric unit:
Ga (0.0533, 0.4642, 0.2580)  2 Mo 2.71-2.73, 2 Ga 2.80-2.83, 3 Sb 2.83-2.88
Sb (0.4011, 0.0845, 0.2414)  3 Ga 2.83-2.88, 4 Mo 2.87-3.07, 2 Sb 3.07-3.10
Mo (0.0000, 0.0000, 0.5000)  4 Ga 2.73-3.06, 2 Mo 2.82, 4 Sb 2.88-3.03
Mo (0.5000, 0.5000, 0.0000)  2 Ga 2.71, 2 Mo 2.82, 2 Sb 2.87

Calculated values
crystal system	triclinic
D(E_F)	2.12	states/eV/f.u.
uncorrected energy	-5.668	eV per atom
uncorrected formation energy	0.3256	eV/atom
V	18.894	Å³ per atom

---

This record from the Alexandria database describes a geometry-optimized CaCuHg structure. The functional is PBE.

Unit cell a=6.9563 b=6.9563 c=6.9563 alpha=90.00 beta=90.00 gamma=90.00
With the nearest neighbours (Å) after each atom.
Space group F-43m (No. 216)
Asymmetric unit:
Ca (0.0000, 0.0000, 0.0000)  4 Cu 3.01, 4 Hg 3.01
Cu (0.2500, 0.2500, 0.2500)  4 Ca 3.01
Hg (0.2500, 0.2500, 0.7500)  4 Ca 3.01

Calculated values
crystal system	cubic
D(E_F)	2.38	states/eV/f.u.
uncorrected energy	-2.002	eV per atom
V	28.052	Å³ per atom
formation enthalpy at 0 K	12.62	kJ per mole of atoms

---

This record from the Alexandria database describes a geometry-optimized Li5SiN3 structure. The functional is PBE.

Unit cell a=4.9258 b=3.1777 c=10.4810 alpha=90.00 beta=91.40 gamma=90.00
With the nearest neighbours (Å) after each atom.
Space group P2/m (No. 10)
Asymmetric unit:
Li (0.1489, 0.0000, 0.2102)  3 N 1.95-2.14
Li (0.2164, 0.0000, 0.5260)  2 N 1.93
Li (0.2295, 0.5000, 0.6697)  4 N 2.02-2.08, 2 Li 2.19
Li (0.2387, 0.5000, 0.0355)  4 N 2.00-2.11
Li (0.3056, 0.5000, 0.3637)  3 N 2.03-2.10
Si (0.3265, 0.0000, 0.8503)  4 N 1.71-1.91
N (0.0000, 0.5000, 0.5000)  8 Li 1.93-2.10
N (0.1123, 0.5000, 0.8528)  2 Si 1.91, 3 Li 2.00-2.11
N (0.4915, 0.0000, 0.7087)  1 Si 1.71
N (0.5000, 0.0000, 0.0000)  2 Si 1.77

Calculated values
crystal system	monoclinic
uncorrected energy	-5.078	eV per atom
uncorrected formation energy	-0.6375	eV/atom
V	9.112	Å³ per atom